Mn3Fe9P4 | GGA-PBEsol | optimized geometry

Structure (POSCAR):
```
Mn3Fe9P4
1.0
4.3444 0.0018 -0.0098
2.1719 6.2223 -0.0087
2.1561 0.0147 6.2317
Fe P Mn
9 4 3
direct
0.0421 0.3270 0.6104 Fe
0.0250 0.0482 0.3881 Fe
0.6577 0.0262 0.1790 Fe
0.3435 0.6112 0.6764 Fe
0.9859 0.6746 0.3902 Fe
0.9244 0.6140 0.0504 Fe
0.6238 0.3917 0.3279 Fe
0.4609 0.9514 0.6123 Fe
0.5860 0.3874 0.9525 Fe
0.7839 0.6622 0.7537 P
0.5532 0.2472 0.6608 P
0.1971 0.3382 0.2480 P
0.4666 0.7541 0.3393 P
0.3037 0.8192 0.0242 Mn
0.8810 0.9734 0.8153 Mn
0.1652 0.1737 0.9716 Mn
```

SG: No. 1
Size of the total moment in μB per cell: 12.14
Total DFT energy (no corrections) in eV per atom: -8.7176